# TlRe2Ru

A crystal of TlRe2Ru relaxed with PBEsol (SCAN, Alexandria).

Results
Electronic total energy in eV/atom: -61.731
D(E_F) in states/eV/atom: 0.967
Offset from the most stable computed form in meV/atom: 124

a b c (Å): 2.826 3.878 5.828
angles (deg): 90.00 90.00 90.00
Fractional positions:
Re (0.001, 0.000, 0.042)
Re (0.499, 0.500, 0.238)
Ru (0.000, 0.000, 0.480)
Tl (0.500, 0.500, 0.740)